Material: HoTiFe11C
Method: DFT, meta-GGA SCAN
State: PBEsol geometry

Cell: 4.7177 6.3630 6.3630 Å, 82.46 68.24 68.24°
Last column: nearest neighbours and their distance in Å.
Atoms (fractional coordinates):
1 Fe 0.2767 0.2233 0.2233  1 C 1.87
2 Fe 0.0017 0.9973 0.4998  9 Fe 2.36-2.57, 1 Ti 2.61
3 Fe 0.4980 0.7815 0.2225  1 C 1.85
4 Fe 0.0002 0.3570 0.6425  9 Fe 2.39-2.62
5 Fe 0.4980 0.2225 0.7815  1 C 1.85
6 Fe 0.0002 0.6425 0.3570  9 Fe 2.39-2.62
7 Fe 0.0017 0.4998 0.9973  9 Fe 2.36-2.57, 1 Ti 2.61
8 Fe 0.5013 0.9973 0.4998  9 Fe 2.36-2.57, 1 Ti 2.61
9 Fe 0.7253 0.7747 0.7747  1 C 1.87
10 Fe 0.3544 0.6456 0.6456  1 Ti 2.31, 4 Fe 2.55
11 Fe 0.5013 0.4998 0.9973  9 Fe 2.36-2.57, 1 Ti 2.61
12 C 0.5013 0.9987 0.9987  4 Fe 1.85-1.87
13 Ti 0.6318 0.3682 0.3682  1 Fe 2.31
14 Ho 0.0080 0.9920 0.9920  2 C 2.36

Output
Calculated formation energy: -92 meV per atom
Symmetry: No. 44